Record 1
# PBE DyB2Os, optimized geometry
# ΔE_f in meV per atom: -265
# Excess energy over the best structure of this formula in the dataset in eV per atom: 0.3098
data_DyB2Os
_chemical_formula_sum 'Dy1 B2 Os1'
_cell_length_a 5.143
_cell_length_b 5.143
_cell_length_c 5.143
_cell_angle_alpha 41.77
_cell_angle_beta 41.77
_cell_angle_gamma 41.77
_space_group_name_H-M_alt 'P 1'
_space_group_IT_number 1
_space_group_name_Hall 'P 1'
loop_
_atom_site_label
_atom_site_type_symbol
_atom_site_fract_x
_atom_site_fract_y
_atom_site_fract_z
_atom_site_occupancy
Dy1 Dy 0.000 0.000 0.000 1
B1 B 0.207 0.207 0.207 1
B2 B 0.793 0.793 0.793 1
Os1 Os 0.500 0.500 0.500 1



Record 2
# PBE Dy3B4Os2, optimized geometry
# ΔE_f in meV per atom: -356
data_Dy3B4Os2
_chemical_formula_sum 'Dy3 B4 Os2'
_cell_length_a 5.892
_cell_length_b 5.892
_cell_length_c 7.678
_cell_angle_alpha 116.12
_cell_angle_beta 116.12
_cell_angle_gamma 38.24
_space_group_name_H-M_alt 'P 1'
_space_group_IT_number 1
_space_group_name_Hall 'P 1'
loop_
_atom_site_label
_atom_site_type_symbol
_atom_site_fract_x
_atom_site_fract_y
_atom_site_fract_z
_atom_site_occupancy
Dy1 Dy 0.000 0.000 0.000 1
Dy2 Dy 0.364 0.364 0.260 1
Dy3 Dy 0.636 0.636 0.740 1
B1 B 0.116 0.116 0.407 1
B2 B 0.320 0.320 0.895 1
B3 B 0.680 0.680 0.105 1
B4 B 0.884 0.884 0.593 1
Os1 Os 0.324 0.324 0.642 1
Os2 Os 0.676 0.676 0.358 1



Record 3
# PBE DyB2Os, optimized geometry
# ΔE_f in meV per atom: -392
# Excess energy over the best structure of this formula in the dataset in eV per atom: 0.1825
data_DyB2Os
_chemical_formula_sum 'Dy2 B4 Os2'
_cell_length_a 3.155
_cell_length_b 6.642
_cell_length_c 5.201
_cell_angle_alpha 90.00
_cell_angle_beta 90.00
_cell_angle_gamma 90.00
_space_group_name_H-M_alt 'P 1'
_space_group_IT_number 1
_space_group_name_Hall 'P 1'
loop_
_atom_site_label
_atom_site_type_symbol
_atom_site_fract_x
_atom_site_fract_y
_atom_site_fract_z
_atom_site_occupancy
Dy1 Dy 0.250 0.250 0.119 1
Dy2 Dy 0.750 0.750 0.881 1
B1 B 0.250 0.017 0.592 1
B2 B 0.250 0.483 0.592 1
B3 B 0.750 0.517 0.408 1
B4 B 0.750 0.983 0.408 1
Os1 Os 0.250 0.750 0.365 1
Os2 Os 0.750 0.250 0.635 1



Record 4
# PBE DyB2Os2, optimized geometry
# ΔE_f in meV per atom: -382
data_DyB2Os2
_chemical_formula_sum 'Dy1 B2 Os2'
_cell_length_a 5.490
_cell_length_b 5.490
_cell_length_c 5.490
_cell_angle_alpha 136.97
_cell_angle_beta 136.97
_cell_angle_gamma 62.49
_space_group_name_H-M_alt 'P 1'
_space_group_IT_number 1
_space_group_name_Hall 'P 1'
loop_
_atom_site_label
_atom_site_type_symbol
_atom_site_fract_x
_atom_site_fract_y
_atom_site_fract_z
_atom_site_occupancy
Dy1 Dy 0.000 0.000 0.000 1
B1 B 0.322 0.322 0.000 1
B2 B 0.678 0.678 0.000 1
Os1 Os 0.250 0.750 0.500 1
Os2 Os 0.750 0.250 0.500 1



Record 5
# PBE DyB2Os, optimized geometry
# ΔE_f in meV per atom: -575
# Excess energy over the best structure of this formula in the dataset in eV per atom: 0.0000
data_DyB2Os
_chemical_formula_sum 'Dy4 B8 Os4'
_cell_length_a 5.906
_cell_length_b 5.319
_cell_length_c 6.384
_cell_angle_alpha 90.00
_cell_angle_beta 90.00
_cell_angle_gamma 90.00
_space_group_name_H-M_alt 'P 1'
_space_group_IT_number 1
_space_group_name_Hall 'P 1'
loop_
_atom_site_label
_atom_site_type_symbol
_atom_site_fract_x
_atom_site_fract_y
_atom_site_fract_z
_atom_site_occupancy
Dy1 Dy 0.010 0.250 0.164 1
Dy2 Dy 0.490 0.750 0.664 1
Dy3 Dy 0.510 0.250 0.336 1
Dy4 Dy 0.990 0.750 0.836 1
B1 B 0.137 0.582 0.460 1
B2 B 0.137 0.918 0.460 1
B3 B 0.363 0.082 0.960 1
B4 B 0.363 0.418 0.960 1
B5 B 0.637 0.582 0.040 1
B6 B 0.637 0.918 0.040 1
B7 B 0.863 0.082 0.540 1
B8 B 0.863 0.418 0.540 1
Os1 Os 0.177 0.250 0.680 1
Os2 Os 0.323 0.750 0.180 1
Os3 Os 0.677 0.250 0.820 1
Os4 Os 0.823 0.750 0.320 1



Record 6
# PBE Dy2B6Os, optimized geometry
# ΔE_f in meV per atom: -656
data_Dy2B6Os
_chemical_formula_sum 'Dy8 B24 Os4'
_cell_length_a 9.166
_cell_length_b 11.538
_cell_length_c 3.661
_cell_angle_alpha 90.00
_cell_angle_beta 90.00
_cell_angle_gamma 90.00
_space_group_name_H-M_alt 'P 1'
_space_group_IT_number 1
_space_group_name_Hall 'P 1'
loop_
_atom_site_label
_atom_site_type_symbol
_atom_site_fract_x
_atom_site_fract_y
_atom_site_fract_z
_atom_site_occupancy
Dy1 Dy 0.056 0.127 0.000 1
Dy2 Dy 0.178 0.413 0.000 1
Dy3 Dy 0.322 0.913 0.000 1
Dy4 Dy 0.444 0.627 0.000 1
Dy5 Dy 0.556 0.373 0.000 1
Dy6 Dy 0.678 0.087 0.000 1
Dy7 Dy 0.822 0.587 0.000 1
Dy8 Dy 0.944 0.873 0.000 1
B1 B 0.017 0.287 0.500 1
B2 B 0.053 0.567 0.500 1
B3 B 0.111 0.969 0.500 1
B4 B 0.132 0.814 0.500 1
B5 B 0.210 0.233 0.500 1
B6 B 0.247 0.580 0.500 1
B7 B 0.253 0.080 0.500 1
B8 B 0.290 0.733 0.500 1
B9 B 0.368 0.314 0.500 1
B10 B 0.389 0.469 0.500 1
B11 B 0.447 0.067 0.500 1
B12 B 0.483 0.787 0.500 1
B13 B 0.517 0.213 0.500 1
B14 B 0.553 0.933 0.500 1
B15 B 0.611 0.531 0.500 1
B16 B 0.632 0.686 0.500 1
B17 B 0.710 0.267 0.500 1
B18 B 0.747 0.920 0.500 1
B19 B 0.753 0.420 0.500 1
B20 B 0.790 0.767 0.500 1
B21 B 0.868 0.186 0.500 1
B22 B 0.889 0.031 0.500 1
B23 B 0.947 0.433 0.500 1
B24 B 0.983 0.713 0.500 1
Os1 Os 0.137 0.678 0.000 1
Os2 Os 0.363 0.178 0.000 1
Os3 Os 0.637 0.822 0.000 1
Os4 Os 0.863 0.322 0.000 1



Record 7
# PBE Dy2B2Os, optimized geometry
# ΔE_f in meV per atom: -334
data_Dy2B2Os
_chemical_formula_sum 'Dy4 B4 Os2'
_cell_length_a 5.399
_cell_length_b 5.399
_cell_length_c 6.473
_cell_angle_alpha 101.09
_cell_angle_beta 101.09
_cell_angle_gamma 59.14
_space_group_name_H-M_alt 'P 1'
_space_group_IT_number 1
_space_group_name_Hall 'P 1'
loop_
_atom_site_label
_atom_site_type_symbol
_atom_site_fract_x
_atom_site_fract_y
_atom_site_fract_z
_atom_site_occupancy
Dy1 Dy 0.044 0.258 0.148 1
Dy2 Dy 0.258 0.044 0.648 1
Dy3 Dy 0.742 0.956 0.352 1
Dy4 Dy 0.956 0.742 0.852 1
B1 B 0.247 0.505 0.503 1
B2 B 0.495 0.753 0.997 1
B3 B 0.505 0.247 0.003 1
B4 B 0.753 0.495 0.497 1
Os1 Os 0.400 0.600 0.250 1
Os2 Os 0.600 0.400 0.750 1



Record 8
# PBE DyB4Os, optimized geometry
# ΔE_f in meV per atom: -583
data_DyB4Os
_chemical_formula_sum 'Dy4 B16 Os4'
_cell_length_a 5.972
_cell_length_b 11.548
_cell_length_c 3.570
_cell_angle_alpha 90.00
_cell_angle_beta 90.00
_cell_angle_gamma 90.00
_space_group_name_H-M_alt 'P 1'
_space_group_IT_number 1
_space_group_name_Hall 'P 1'
loop_
_atom_site_label
_atom_site_type_symbol
_atom_site_fract_x
_atom_site_fract_y
_atom_site_fract_z
_atom_site_occupancy
Dy1 Dy 0.128 0.150 0.000 1
Dy2 Dy 0.372 0.650 0.000 1
Dy3 Dy 0.628 0.350 0.000 1
Dy4 Dy 0.872 0.850 0.000 1
B1 B 0.025 0.691 0.500 1
B2 B 0.112 0.547 0.500 1
B3 B 0.136 0.970 0.500 1
B4 B 0.211 0.814 0.500 1
B5 B 0.289 0.314 0.500 1
B6 B 0.364 0.470 0.500 1
B7 B 0.388 0.047 0.500 1
B8 B 0.475 0.191 0.500 1
B9 B 0.525 0.809 0.500 1
B10 B 0.612 0.953 0.500 1
B11 B 0.636 0.530 0.500 1
B12 B 0.711 0.686 0.500 1
B13 B 0.789 0.186 0.500 1
B14 B 0.864 0.030 0.500 1
B15 B 0.888 0.453 0.500 1
B16 B 0.975 0.309 0.500 1
Os1 Os 0.141 0.407 0.000 1
Os2 Os 0.359 0.907 0.000 1
Os3 Os 0.641 0.093 0.000 1
Os4 Os 0.859 0.593 0.000 1



Record 9
# PBE Dy2Si2BOs2, optimized geometry
# Calculated total energy in eV/atom: -7.8003
data_Dy2Si2BOs2
_chemical_formula_sum 'Dy2 Si2 B1 Os2'
_cell_length_a 5.790
_cell_length_b 5.790
_cell_length_c 6.916
_cell_angle_alpha 125.35
_cell_angle_beta 125.35
_cell_angle_gamma 42.00
_space_group_name_H-M_alt 'P 1'
_space_group_IT_number 1
_space_group_name_Hall 'P 1'
loop_
_atom_site_label
_atom_site_type_symbol
_atom_site_fract_x
_atom_site_fract_y
_atom_site_fract_z
_atom_site_occupancy
Dy1 Dy 0.067 0.067 0.332 1
Dy2 Dy 0.933 0.933 0.668 1
Si1 Si 0.349 0.349 0.900 1
Si2 Si 0.651 0.651 0.100 1
B1 B 0.500 0.500 0.500 1
Os1 Os 0.286 0.286 0.182 1
Os2 Os 0.714 0.714 0.818 1



Record 10
# PBE DySiBOs2, optimized geometry
# Calculated total energy in eV/atom: -8.3740
data_DySiBOs2
_chemical_formula_sum 'Dy2 Si2 B2 Os4'
_cell_length_a 5.895
_cell_length_b 5.895
_cell_length_c 7.150
_cell_angle_alpha 90.00
_cell_angle_beta 90.00
_cell_angle_gamma 140.50
_space_group_name_H-M_alt 'P 1'
_space_group_IT_number 1
_space_group_name_Hall 'P 1'
loop_
_atom_site_label
_atom_site_type_symbol
_atom_site_fract_x
_atom_site_fract_y
_atom_site_fract_z
_atom_site_occupancy
Dy1 Dy 0.048 0.952 0.750 1
Dy2 Dy 0.952 0.048 0.250 1
Si1 Si 0.231 0.769 0.250 1
Si2 Si 0.769 0.231 0.750 1
B1 B 0.500 0.500 0.000 1
B2 B 0.500 0.500 0.500 1
Os1 Os 0.327 0.673 0.563 1
Os2 Os 0.327 0.673 0.937 1
Os3 Os 0.673 0.327 0.063 1
Os4 Os 0.673 0.327 0.437 1